BeO2F2: optimized geometry, PBE.

**E above lowest polymorph**: 0.000 eV/atom
**D(E_F)**: 4.77 states/eV/cell
**Formation energy (no corrections)**: -0.68 eV per atom
**Space-group type**: No. 123

abc: 3.0901 3.0901 5.6646
angles: 90.00 90.00 90.00
With the nearest neighbours (Å) after each atom.
Sites, in units of the cell vectors:
Be1 0.0000 0.0000 0.0000  4 F 1.55
O1 0.5000 0.5000 0.5000  4 O 2.19
O2 0.0000 0.0000 0.5000  4 O 2.19
F1 0.0000 0.5000 0.0000  2 Be 1.55
F2 0.5000 0.0000 0.0000  2 Be 1.55